This record from Alexandria describes an optimized crystal structure of SrCaMg2. The functional is PBE.

Structure (POSCAR):
```
SrCaMg2
1.0
6.003 0.000 0.000
0.000 3.850 0.000
-2.505 0.000 6.255
Sr Ca Mg
1 1 2
Direct
0.000 0.000 0.000
0.000 0.500 0.500
0.500 0.000 0.500
0.500 0.500 0.000
```

Output
magnetic moment	0.00	Bohr magnetons per cell
formation enthalpy at 0 K	0.41	eV per formula unit
Fermi-level density of states	4.75	states/eV/cell
total energy	-1.62	eV per atom